(1)
InReAg2 | OQMD via LeMat-Bulk | PBE | optimized geometry; ρ = 12.1 Mg/m³; electronic total energy = -4.5069 eV/atom
1.0
0.0000 3.2846 3.2846
3.2846 0.0000 3.2846
3.2846 3.2846 0.0000
Ag Re In
2 1 1
Cartesian
0.0000 0.0000 0.0000
4.9269 4.9269 4.9269
1.6423 1.6423 1.6423
3.2846 3.2846 3.2846



(2)
HoCu12 | OQMD via LeMat-Bulk | PBE | optimized geometry; ρ = 9.1 Mg/m³; ΔE_f = -0.076 eV/atom; electronic total energy = -3.8592 eV/atom
1.0
-4.2076 4.2076 2.3835
4.2076 -4.2076 2.3835
4.2076 4.2076 -2.3835
Cu Ho
12 1
Cartesian
5.4259 0.0000 0.0000
2.1038 2.1038 -1.1918
0.0000 2.9894 0.0000
2.1038 2.1038 1.1917
2.9894 0.0000 0.0000
0.0000 1.8675 2.3835
2.3401 4.2076 0.0000
4.2076 2.3401 0.0000
0.0000 5.4259 0.0000
-2.1038 2.1038 1.1918
2.1038 -2.1038 1.1918
1.8675 0.0000 2.3835
0.0000 0.0000 0.0000



(3)
AlCoHgAu | OQMD via LeMat-Bulk | PBE | optimized geometry; E above lowest polymorph = 0.000 eV per atom; ρ = 12.4 Mg/m³; electronic total energy = -3.4686 eV/atom
1.0
-2.0859 -3.0710 -2.5507
-4.4990 -0.2146 -0.0395
-2.2842 1.2896 -3.6617
Co Hg Au Al
1 1 1 1
Cartesian
-6.6518 -1.4970 -4.6889
-4.4345 -0.9980 -3.1259
-2.2173 -0.4990 -1.5630
0.0000 0.0000 0.0000



(4)
Ho3InNiPt2Pb2 | OQMD via LeMat-Bulk | PBE | optimized geometry; ρ = 12.5 Mg/m³; electronic total energy = -5.4203 eV/atom
1.0
3.7572 0.0000 0.0000
0.0000 6.7554 3.8625
0.0000 -6.7554 3.8625
Ni In Ho Pt Pb
1 1 3 2 2
Cartesian
1.8786 0.0000 0.0313
0.0000 0.0000 1.9629
1.8786 0.0000 4.5476
1.8786 2.7115 1.5913
1.8786 -2.7115 1.5913
0.0000 -2.2131 3.8256
0.0000 2.2131 3.8256
0.0000 -5.0460 2.8998
0.0000 5.0460 2.8998



(5)
ThSc2Ni9 | OQMD via LeMat-Bulk | PBE | optimized geometry; ρ = 8.6 Mg/m³; ΔE_f = -0.485 eV/atom; electronic total energy = -6.3330 eV/atom
1.0
2.4443 1.4112 7.9610
-2.4443 1.4112 7.9610
0.0000 -2.8225 7.9610
Ni Sc Th
9 2 1
Cartesian
-1.2330 -0.7119 10.0085
1.2330 0.7119 13.8747
0.0000 0.0000 11.9416
0.0000 0.0000 7.9634
1.2330 -0.7119 10.0085
0.0000 0.0000 15.9197
0.0000 -1.4238 13.8746
0.0000 1.4238 10.0085
-1.2330 0.7119 13.8747
0.0000 0.0000 20.4810
0.0000 0.0000 3.4021
0.0000 0.0000 0.0000



(6)
PrAsAu | OQMD via LeMat-Bulk | PBE | optimized geometry; ρ = 8.8 Mg/m³; electronic total energy = -4.9161 eV/atom
1.0
0.0000 3.3959 3.3959
3.3959 0.0000 3.3959
3.3959 3.3959 0.0000
Pr Au As
1 1 1
Cartesian
5.0938 5.0938 5.0938
0.0000 0.0000 0.0000
1.6980 1.6980 1.6980



(7)
Ac2WN4 | OQMD via LeMat-Bulk | PBE | optimized geometry; ρ = 9.0 Mg/m³; electronic total energy = -8.8353 eV/atom
1.0
-5.3094 -2.7321 -1.2706
2.8989 -5.2638 -0.7951
1.3752 -0.3401 7.2659
N Ac W
8 4 2
Cartesian
3.0337 -4.4873 6.1089
0.8296 -6.5504 0.5749
2.4345 -4.1694 1.8193
-4.0690 -3.8488 -0.9086
-3.4697 -4.1666 3.3810
-1.8648 -1.7857 4.6254
-0.5700 -4.0089 0.9587
-0.4652 -4.3271 4.2416
0.1913 -2.0486 2.7067
-1.4226 -5.8195 -1.3187
-1.2266 -6.2875 2.4936
0.3873 -2.5165 6.5191
1.1340 -4.6951 0.5583
-2.1693 -3.6410 4.6420



(8)
DyTm2Zn3CdIn2 | OQMD via LeMat-Bulk | PBE | optimized geometry; ρ = 8.6 Mg/m³; electronic total energy = -2.9895 eV/atom
1.0
4.5566 0.0000 0.0000
0.0000 6.1845 3.5436
0.0000 -6.1845 3.5436
Tm Zn Cd In Dy
2 3 1 2 1
Cartesian
0.0000 3.5030 2.0173
0.0000 -3.5030 2.0173
2.2783 0.0000 5.4274
2.2783 -1.4389 0.8287
2.2783 1.4389 0.8287
0.0000 0.0000 7.0600
2.2783 2.0759 3.5513
2.2783 -2.0759 3.5513
0.0000 0.0000 3.0674



(9)
Pr6GeIr2 | OQMD via LeMat-Bulk | PBE | optimized geometry; ρ = 8.6 Mg/m³; electronic total energy = -6.0881 eV/atom
1.0
-5.3244 -5.5809 1.5715
6.1110 -1.6011 -4.6965
2.5009 -1.3409 3.7113
Pr Ir Ge
6 2 1
Cartesian
0.4706 -4.2969 -1.8696
-2.6172 -4.7244 2.9972
5.6895 -1.8335 -1.5559
-2.1389 -2.2419 0.6313
2.4549 -0.6432 -1.8866
1.4657 -2.6355 1.0007
-0.2621 -4.9247 1.3378
3.5497 -3.5981 -0.7515
0.0000 0.0000 0.0000



(10)
Nb4Ni3W2N3 | OQMD via LeMat-Bulk | PBE | optimized geometry; ρ = 10.3 Mg/m³; electronic total energy = -9.2339 eV/atom
1.0
-3.2282 1.7090 3.9075
-4.7199 -2.3486 0.9040
8.1215 -7.7979 6.5009
N Ni W Nb
6 6 4 8
Cartesian
-0.8187 -5.1461 5.3653
0.9922 -3.2914 5.9472
-1.6141 0.8545 1.9538
4.4083 -8.9438 7.8998
1.7008 -5.0732 3.7025
-4.2349 0.5063 3.4127
-2.6776 -4.2657 2.5532
0.6474 -5.8358 8.6623
-0.4740 -2.6017 2.6502
-3.7690 -2.9044 4.6956
2.8510 -4.1718 8.7592
3.9425 -5.5331 6.6168
-2.4834 -1.0702 3.4119
2.6568 -7.3673 7.9005
-1.1670 -2.8238 5.1272
1.3404 -5.6137 6.1853
-5.3340 -0.8320 4.5576
1.7004 -3.0166 4.0152
-3.5793 -3.4284 7.2515
0.2091 -8.0681 9.9536
-1.5269 -5.4209 7.2973
5.5074 -7.6055 6.7549
3.7528 -5.0091 4.0610
-0.0356 -0.3693 1.3589



(11)
Rb2HgSbBr6 | OQMD via LeMat-Bulk | PBE | optimized geometry; ρ = 4.3 Mg/m³; electronic total energy = -2.6308 eV/atom
1.0
0.0000 5.7322 5.7322
5.7322 0.0000 5.7322
5.7322 5.7322 0.0000
Rb Br Sb Hg
2 6 1 1
Cartesian
8.5982 8.5982 8.5982
2.8661 2.8661 2.8661
5.7322 8.5277 5.7322
8.5277 5.7322 5.7322
5.7321 5.7321 2.9366
2.9366 5.7321 5.7321
5.7321 2.9366 5.7321
5.7322 5.7322 8.5277
5.7322 5.7322 5.7322
0.0000 0.0000 0.0000



(12)
Tm4SiTe3 | OQMD via LeMat-Bulk | PBE | optimized geometry; ρ = 8.2 Mg/m³; electronic total energy = -5.2665 eV/atom
1.0
-2.8947 6.2340 -2.7830
-0.4952 0.1946 7.3962
3.7859 1.8494 0.2048
Tm Te Si
4 3 1
Cartesian
-0.4494 5.7685 -0.3375
-0.7425 1.4081 1.0104
-2.6474 5.0205 3.6028
0.8455 2.5095 5.1555
-0.2476 0.0973 3.6981
0.1980 4.1390 2.4090
-1.4473 3.1170 -1.3915
1.8930 0.9247 0.1024



(13)
CsTcAgSe3 | OQMD via LeMat-Bulk | PBE | optimized geometry; E above lowest polymorph = 0.065 eV per atom; ρ = 5.7 Mg/m³; electronic total energy = -4.4309 eV/atom
1.0
10.9125 0.0000 0.0000
0.0000 3.8093 0.0000
0.0000 0.0000 16.1186
Cs Tc Ag Se
4 4 4 12
Cartesian
2.9142 2.8570 8.2018
7.9983 0.9523 7.9168
8.3704 2.8570 15.9761
2.5420 0.9523 0.1425
10.7781 2.8570 11.8477
5.5906 0.9523 3.7884
0.1344 0.9523 4.2709
5.3219 2.8570 12.3302
8.1456 0.9523 12.6890
8.2232 2.8570 4.6297
2.7669 2.8570 3.4296
2.6893 0.9523 11.4889
5.9251 0.9523 13.9808
3.0875 2.8570 13.2686
4.9874 2.8570 2.1378
7.8250 0.9523 2.8500
5.7162 2.8570 5.5790
10.6525 0.9523 13.6383
0.2599 2.8570 2.4803
5.1963 0.9523 10.5396
8.5437 2.8570 10.9093
10.4436 2.8570 5.9215
0.4689 0.9523 10.1971
2.3687 0.9523 5.2093



(14)
NiOsBr6 | OQMD via LeMat-Bulk | PBE | optimized geometry; ρ = 6.2 Mg/m³; electronic total energy = -3.4543 eV/atom
1.0
-3.4780 4.2888 -3.0321
-5.0547 2.5079 2.8032
0.4195 6.4338 2.0766
Br Ni Os
6 1 1
Cartesian
-4.8907 8.4696 2.3789
-6.0069 6.9762 -0.5969
-2.7323 8.2375 -0.4437
-5.3809 4.9929 2.2913
-2.1062 6.2543 2.4446
-3.2225 4.7609 -0.5312
0.0000 0.0000 0.0000
-4.0566 6.6152 0.9238



(15)
NdSmBr3N | OQMD via LeMat-Bulk | PBE | optimized geometry; E above lowest polymorph = 0.016 eV per atom; ρ = 5.1 Mg/m³; electronic total energy = -5.6051 eV/atom
1.0
9.1087 -2.0055 0.0000
9.1087 2.0055 0.0000
-6.5114 0.0000 9.7260
Br Nd Sm N
6 2 2 2
Cartesian
8.8336 0.0000 4.9586
-4.1370 0.0000 7.2144
8.4781 0.0000 8.5272
15.8429 0.0000 2.5116
3.2278 0.0000 1.1988
2.8723 0.0000 4.7674
4.3054 0.0000 9.3139
7.4005 0.0000 0.4121
0.6230 0.0000 2.7872
11.0829 0.0000 6.9388
9.4721 0.0000 1.5051
2.2338 0.0000 8.2209



(16)
Gd2Mg2Ag3Au | OQMD via LeMat-Bulk | PBE | optimized geometry; ρ = 8.6 Mg/m³; electronic total energy = -3.4454 eV/atom
1.0
4.9962 0.0000 0.0000
0.0000 4.9806 0.0000
-0.0029 0.0000 6.8306
Ag Gd Mg Au
3 2 2 1
Cartesian
3.6716 0.0000 5.1142
1.3200 2.4903 5.1319
1.3228 2.4903 1.6983
1.1735 0.0000 3.3898
3.8170 2.4903 0.0256
3.7484 2.4903 3.4085
1.2485 0.0000 0.0061
3.6742 0.0000 1.7174



(17)
TbY2IrPd2Pb3 | OQMD via LeMat-Bulk | PBE | optimized geometry; ρ = 11.0 Mg/m³; electronic total energy = -5.9978 eV/atom
1.0
-0.6787 3.2873 1.9568
-6.3004 -3.2448 3.2657
6.9567 -0.6335 3.4772
Pd Pb Y Ir Tb
2 3 2 1 1
Cartesian
-2.2169 -0.7315 4.3172
2.1950 0.1376 4.3876
-4.9693 -0.7426 3.3812
4.7735 1.1765 3.5366
-0.1658 0.6183 2.7611
2.7627 -0.2516 1.3809
-2.5020 -1.2886 1.2969
0.6562 -3.8774 6.7414
0.3953 -2.3360 4.0614



(18)
Gd2Hg2O5 | OQMD via LeMat-Bulk | PBE | optimized geometry; E above lowest polymorph = 0.452 eV per atom; ρ = 10.0 Mg/m³; electronic total energy = -5.0886 eV/atom
1.0
7.1732 0.0000 0.0000
0.0000 4.2919 0.0000
0.0000 0.0000 4.2919
Gd O Hg
2 5 2
Cartesian
3.5866 0.0000 0.0000
0.0000 0.0000 0.0000
5.6389 2.1460 0.0000
5.6389 0.0000 2.1460
1.5343 0.0000 2.1460
3.5866 2.1460 2.1460
1.5343 2.1460 0.0000
5.7878 2.1460 2.1460
1.3854 2.1460 2.1460



(19)
Sc2Tc | OQMD via LeMat-Bulk | PBE | optimized geometry; E above lowest polymorph = 1.589 eV per atom; ρ = 2.0 Mg/m³; ΔE_f = 1.378 eV/atom; electronic total energy = -6.2941 eV/atom
1.0
3.8089 2.1991 6.2199
-3.8089 2.1991 6.2199
0.0000 -4.3981 6.2199
Sc Tc
4 2
Cartesian
0.0000 -2.1991 10.1073
1.9044 1.0995 10.1073
0.0000 0.0000 6.9974
-1.9044 1.0995 10.1073
0.0000 0.0000 9.3298
0.0000 0.0000 4.6649



(20)
TbNdGa2Pd4 | OQMD via LeMat-Bulk | PBE | optimized geometry; ρ = 9.2 Mg/m³; electronic total energy = -5.3836 eV/atom
1.0
4.4350 0.0000 0.0000
-2.2175 3.8408 0.0000
0.0000 0.0000 9.2135
Pd Ga Nd Tb
4 2 1 1
Cartesian
0.0000 0.0000 1.6416
0.0000 2.5606 6.1381
0.0000 2.5606 3.0755
0.0000 0.0000 7.5719
2.2175 1.2803 2.3388
2.2175 1.2803 6.8747
0.0000 2.5606 0.0000
0.0000 0.0000 4.6068



(21)
Lu3Fe7Co2 | OQMD via LeMat-Bulk | PBE | optimized geometry; ρ = 10.1 Mg/m³; ΔE_f = -0.153 eV/atom; electronic total energy = -7.3149 eV/atom
1.0
2.4667 1.4242 8.0732
-2.4667 1.4242 8.0732
0.0000 -2.8483 8.0732
Fe Co Lu
7 2 3
Cartesian
0.0000 1.4292 10.0706
0.0000 0.0000 12.1098
1.2377 -0.7146 10.0706
-1.2377 0.7146 14.1489
-1.2377 -0.7146 10.0706
1.2377 0.7146 14.1489
0.0000 -1.4292 14.1489
0.0000 0.0000 8.0663
0.0000 0.0000 16.1532
0.0000 0.0000 3.4411
0.0000 0.0000 0.0000
0.0000 0.0000 20.7784



(22)
TcNiHgB | OQMD via LeMat-Bulk | PBE | optimized geometry; E above lowest polymorph = 0.000 eV per atom; ρ = 11.8 Mg/m³; electronic total energy = -4.8852 eV/atom
1.0
0.0000 2.9604 2.9604
2.9604 0.0000 2.9604
2.9604 2.9604 0.0000
Ni Tc Hg B
1 1 1 1
Cartesian
2.9604 2.9604 2.9604
4.4407 4.4407 4.4407
1.4802 1.4802 1.4802
0.0000 0.0000 0.0000